<P>
NdGdPt2 | PBE | relaxed

CIF file:
```
data_NdGdPt2
_cell_length_a 4.5803
_cell_length_b 5.6681
_cell_length_c 7.2238
_cell_angle_alpha 90.00
_cell_angle_beta 90.00
_cell_angle_gamma 90.00
_space_group_name_H-M_alt 'P m c 21'
_space_group_IT_number 26
loop_
_space_group_symop_operation_xyz
'x,y,z'
'-x,-y,z+1/2'
'-x,y,z'
'x,-y,z+1/2'
loop_
_atom_site_label
_atom_site_type_symbol
_atom_site_fract_x
_atom_site_fract_y
_atom_site_fract_z
Nd1 Nd 0.0000 0.1106 0.0000
Gd1 Gd 0.5000 0.3904 0.6353
Pt1 Pt 0.0000 0.4066 0.3631
Pt2 Pt 0.5000 0.0983 0.2748
```

Summary:
* V: 23.4 A^3/atom

<Q>
NdGdPt2 | PBE | relaxed

CIF file:
```
data_NdGdPt2
_cell_length_a 4.5574
_cell_length_b 3.8363
_cell_length_c 10.7278
_cell_angle_alpha 90.00
_cell_angle_beta 90.00
_cell_angle_gamma 90.00
_space_group_name_H-M_alt 'A m m 2'
_space_group_IT_number 38
loop_
_space_group_symop_operation_xyz
'x,y,z'
'-x,-y,z'
'-x,y,z'
'x,-y,z'
'x,y+1/2,z+1/2'
'-x,-y+1/2,z+1/2'
'-x,y+1/2,z+1/2'
'x,-y+1/2,z+1/2'
loop_
_atom_site_label
_atom_site_type_symbol
_atom_site_fract_x
_atom_site_fract_y
_atom_site_fract_z
Nd1 Nd 0.0000 0.0000 0.0000
Gd1 Gd 0.5000 0.0000 0.2756
Pt1 Pt 0.0000 0.0000 0.7273
Pt2 Pt 0.5000 0.0000 0.5516
```

Summary:
* V: 23.4 A^3/atom

We find <P> to be the most stable, with the next structure 0.8 kJ/mol of atoms higher.

<P>
NdGdS2 | PBE | relaxed

CIF file:
```
data_NdGdS2
_cell_length_a 3.9911
_cell_length_b 3.9911
_cell_length_c 19.7614
_cell_angle_alpha 90.00
_cell_angle_beta 90.00
_cell_angle_gamma 120.00
_space_group_name_H-M_alt 'R -3 m'
_space_group_IT_number 166
_space_group_name_Hall '-R 3 2"'
loop_
_atom_site_label
_atom_site_type_symbol
_atom_site_fract_x
_atom_site_fract_y
_atom_site_fract_z
Nd1 Nd 0.0000 0.0000 0.0000
Gd1 Gd 0.0000 0.0000 0.5000
S1 S 0.0000 0.0000 0.2463
```

Summary:
* V: 22.7 A^3/atom

<Q>
NdGdS2 | PBE | relaxed

CIF file:
```
data_NdGdS2
_cell_length_a 4.0081
_cell_length_b 4.0081
_cell_length_c 5.6698
_cell_angle_alpha 90.00
_cell_angle_beta 90.00
_cell_angle_gamma 90.00
_space_group_name_H-M_alt 'P 4/m m m'
_space_group_IT_number 123
_space_group_name_Hall '-P 4 2'
loop_
_atom_site_label
_atom_site_type_symbol
_atom_site_fract_x
_atom_site_fract_y
_atom_site_fract_z
Nd1 Nd 0.0000 0.0000 0.0000
Gd1 Gd 0.5000 0.5000 0.5000
S1 S 0.0000 0.0000 0.5000
S2 S 0.5000 0.5000 0.0000
```

Summary:
* V: 22.8 A^3/atom

We find <P> to be the most stable, with the next structure 1.3 kJ/mol of atoms higher.